1.
A relaxed structure of TbPmNiRh, computed with PBE.

Properties
DFT formation energy = -0.534 eV per atom
DOS at the Fermi energy = 0.775 states/eV/atom
SG = F-43m, No. 216

Cell: 4.898 4.898 4.898 Å, 60.00 60.00 60.00°
Fractional positions:
1 Pm 0.000 0.000 0.000
2 Ni 0.250 0.250 0.250
3 Tb 0.500 0.500 0.500
4 Rh 0.750 0.750 0.750

=====

2.
A relaxed structure of TbPmNiRh, computed with PBE.

Properties
DFT formation energy = -0.590 eV per atom
DOS at the Fermi energy = 0.644 states/eV/atom
SG = Amm2, No. 38

Cell: 3.885 4.133 5.725 Å, 90.00 109.83 90.00°
Fractional positions:
1 Tb 0.861 0.500 0.723
2 Ni 0.577 0.500 0.153
3 Rh 0.420 0.000 0.840
4 Pm 0.142 0.000 0.284

=====

3.
A relaxed structure of PmThNiRh, computed with PBE.

Properties
DFT formation energy = -0.615 eV per atom
DOS at the Fermi energy = 0.679 states/eV/atom
SG = Amm2, No. 38

Cell: 3.818 4.469 5.560 Å, 90.00 110.08 90.00°
Fractional positions:
1 Th 0.137 0.000 0.273
2 Rh 0.415 0.000 0.830
3 Pm 0.862 0.500 0.724
4 Ni 0.586 0.500 0.173

=====

4.
A relaxed structure of PmThNiRh, computed with PBE.

Properties
DFT formation energy = -0.481 eV per atom
DOS at the Fermi energy = 1.332 states/eV/atom
SG = F-43m, No. 216

Cell: 4.983 4.983 4.983 Å, 60.00 60.00 60.00°
Fractional positions:
1 Rh 0.750 0.750 0.750
2 Ni 0.250 0.250 0.250
3 Pm 0.500 0.500 0.500
4 Th 0.000 0.000 0.000

=====

5.
A relaxed structure of PmTmNiRh, computed with PBE.

Properties
DFT formation energy = -0.573 eV per atom
DOS at the Fermi energy = 0.610 states/eV/atom
SG = F-43m, No. 216

Cell: 4.858 4.858 4.858 Å, 60.00 60.00 60.00°
Fractional positions:
1 Tm 0.500 0.500 0.500
2 Rh 0.750 0.750 0.750
3 Ni 0.250 0.250 0.250
4 Pm 0.000 0.000 0.000

=====

6.
A relaxed structure of PmTmNiRh, computed with PBE.

Properties
DFT formation energy = -0.617 eV per atom
DOS at the Fermi energy = 0.595 states/eV/atom
SG = Amm2, No. 38

Cell: 3.835 4.115 5.680 Å, 90.00 109.73 90.00°
Fractional positions:
1 Rh 0.418 0.000 0.837
2 Ni 0.575 0.500 0.151
3 Pm 0.144 0.000 0.288
4 Tm 0.862 0.500 0.725

=====

7.
A relaxed structure of Pm2ZnNi5Rh2, computed with PBE.

Properties
DFT formation energy = -0.194 eV per atom
DOS at the Fermi energy = 1.060 states/eV/atom
SG = P4/mbm, No. 127

Cell: 3.736 9.254 9.254 Å, 90.00 90.00 90.00°
Fractional positions:
1 Ni 0.500 0.188 0.056
2 Ni 0.500 0.944 0.188
3 Ni 0.500 0.812 0.944
4 Ni 0.500 0.312 0.556
5 Ni 0.500 0.444 0.312
6 Ni 0.500 0.000 0.500
7 Ni 0.500 0.056 0.812
8 Ni 0.500 0.688 0.444
9 Ni 0.500 0.556 0.688
10 Ni 0.500 0.500 0.000
11 Rh 0.000 0.630 0.870
12 Rh 0.000 0.130 0.630
13 Rh 0.000 0.370 0.130
14 Rh 0.000 0.870 0.370
15 Zn 0.000 0.000 0.000
16 Zn 0.000 0.500 0.500
17 Pm 0.000 0.671 0.171
18 Pm 0.000 0.829 0.671
19 Pm 0.000 0.329 0.829
20 Pm 0.000 0.171 0.329

=====

8.
A relaxed structure of Pm2Zn3Ni12Rh, computed with PBE.

Properties
DFT formation energy = 0.114 eV per atom
DOS at the Fermi energy = 1.077 states/eV/atom
SG = R-3m, No. 166

Cell: 9.586 9.586 9.586 Å, 35.97 35.97 35.97°
Fractional positions:
1 Zn 0.000 0.500 0.000
2 Zn 0.000 0.000 0.500
3 Zn 0.500 0.000 0.000
4 Ni 0.928 0.358 0.928
5 Ni 0.358 0.928 0.928
6 Ni 0.812 0.419 0.419
7 Ni 0.928 0.928 0.358
8 Ni 0.072 0.072 0.642
9 Ni 0.072 0.642 0.072
10 Ni 0.581 0.188 0.581
11 Ni 0.419 0.419 0.812
12 Ni 0.581 0.581 0.188
13 Ni 0.419 0.812 0.419
14 Ni 0.642 0.072 0.072
15 Ni 0.188 0.581 0.581
16 Rh 0.000 0.000 0.000
17 Pm 0.351 0.351 0.351
18 Pm 0.649 0.649 0.649

=====

9.
A relaxed structure of PmZn5Ni2Rh, computed with PBE.

Properties
DFT formation energy = -0.136 eV per atom
DOS at the Fermi energy = 0.733 states/eV/atom
SG = P4/mmm, No. 123

Cell: 4.630 4.630 6.947 Å, 90.00 90.00 90.00°
Fractional positions:
1 Zn 0.500 0.000 0.806
2 Zn 0.500 0.000 0.194
3 Zn 0.000 0.500 0.194
4 Zn 0.500 0.500 0.500
5 Zn 0.000 0.500 0.806
6 Pm 0.000 0.000 0.500
7 Ni 0.500 0.500 0.166
8 Ni 0.500 0.500 0.834
9 Rh 0.000 0.000 0.000

=====

10.
A relaxed structure of Pm2Zn5Ni2Rh, computed with PBE.

Properties
DFT formation energy = -0.317 eV per atom
DOS at the Fermi energy = 0.500 states/eV/atom
SG = P4/mbm, No. 127

Cell: 3.993 9.266 9.266 Å, 90.00 90.00 90.00°
Fractional positions:
1 Pm 0.000 0.684 0.184
2 Pm 0.000 0.816 0.684
3 Pm 0.000 0.316 0.816
4 Pm 0.000 0.184 0.316
5 Ni 0.000 0.889 0.389
6 Ni 0.000 0.611 0.889
7 Ni 0.000 0.389 0.111
8 Ni 0.000 0.111 0.611
9 Zn 0.500 0.500 0.000
10 Zn 0.500 0.947 0.199
11 Zn 0.500 0.000 0.500
12 Zn 0.500 0.053 0.801
13 Zn 0.500 0.801 0.947
14 Zn 0.500 0.699 0.447
15 Zn 0.500 0.447 0.301
16 Zn 0.500 0.301 0.553
17 Zn 0.500 0.199 0.053
18 Zn 0.500 0.553 0.699
19 Rh 0.000 0.500 0.500
20 Rh 0.000 0.000 0.000

=====

11.
A relaxed structure of PmZn3NiRh, computed with PBE.

Properties
DFT formation energy = -0.319 eV per atom
DOS at the Fermi energy = 0.322 states/eV/atom
SG = Cmcm, No. 63

Cell: 5.298 6.129 7.057 Å, 115.74 90.00 90.00°
Fractional positions:
1 Zn 0.000 0.705 0.000
2 Zn 0.750 0.861 0.722
3 Zn 0.000 0.295 0.000
4 Zn 0.500 0.705 0.000
5 Zn 0.500 0.295 0.000
6 Zn 0.250 0.139 0.278
7 Pm 0.250 0.724 0.447
8 Pm 0.750 0.276 0.553
9 Rh 0.750 0.652 0.303
10 Rh 0.250 0.348 0.697
11 Ni 0.250 0.934 0.867
12 Ni 0.750 0.066 0.133

=====

12.
A relaxed structure of Pm2Zn2Ni5Rh, computed with PBE.

Properties
DFT formation energy = -0.158 eV per atom
DOS at the Fermi energy = 1.192 states/eV/atom
SG = P4/mbm, No. 127

Cell: 3.685 9.214 9.214 Å, 90.00 90.00 90.00°
Fractional positions:
1 Pm 0.000 0.815 0.685
2 Pm 0.000 0.315 0.815
3 Pm 0.000 0.685 0.185
4 Pm 0.000 0.185 0.315
5 Zn 0.000 0.887 0.387
6 Zn 0.000 0.387 0.113
7 Zn 0.000 0.613 0.887
8 Zn 0.000 0.113 0.613
9 Ni 0.500 0.000 0.500
10 Ni 0.500 0.500 0.000
11 Ni 0.500 0.056 0.796
12 Ni 0.500 0.444 0.296
13 Ni 0.500 0.296 0.556
14 Ni 0.500 0.796 0.944
15 Ni 0.500 0.944 0.204
16 Ni 0.500 0.704 0.444
17 Ni 0.500 0.556 0.704
18 Ni 0.500 0.204 0.056
19 Rh 0.000 0.000 0.000
20 Rh 0.000 0.500 0.500

=====

13.
A relaxed structure of PmZrNiRh, computed with PBE.

Properties
DFT formation energy = -0.411 eV per atom
DOS at the Fermi energy = 1.415 states/eV/atom
SG = F-43m, No. 216

Cell: 4.782 4.782 4.782 Å, 60.00 60.00 60.00°
Fractional positions:
1 Rh 0.750 0.750 0.750
2 Zr 0.000 0.000 0.000
3 Ni 0.250 0.250 0.250
4 Pm 0.500 0.500 0.500

=====

14.
A relaxed structure of Pm12Ni6Ru, computed with PBE.

Properties
DFT formation energy = -0.138 eV per atom
DOS at the Fermi energy = 0.979 states/eV/atom
SG = R-3, No. 148

Cell: 8.157 8.157 8.157 Å, 97.83 97.83 97.83°
Fractional positions:
1 Pm 0.049 0.678 0.911
2 Pm 0.089 0.951 0.322
3 Pm 0.322 0.089 0.951
4 Pm 0.911 0.049 0.678
5 Pm 0.183 0.411 0.578
6 Pm 0.589 0.422 0.817
7 Pm 0.951 0.322 0.089
8 Pm 0.678 0.911 0.049
9 Pm 0.817 0.589 0.422
10 Pm 0.422 0.817 0.589
11 Pm 0.411 0.578 0.183
12 Pm 0.578 0.183 0.411
13 Ni 0.686 0.870 0.387
14 Ni 0.870 0.387 0.686
15 Ni 0.130 0.613 0.314
16 Ni 0.387 0.686 0.870
17 Ni 0.314 0.130 0.613
18 Ni 0.613 0.314 0.130
19 Ru 0.000 0.000 0.000

=====

15.
A relaxed structure of Pm8NiRu2, computed with PBE.

Properties
DFT formation energy = -0.135 eV per atom
DOS at the Fermi energy = 1.172 states/eV/atom
SG = C2/m, No. 12

Cell: 4.984 6.940 9.273 Å, 105.13 105.59 90.00°
Fractional positions:
1 Pm 0.032 0.790 0.065
2 Pm 0.204 0.317 0.409
3 Pm 0.332 0.030 0.663
4 Pm 0.595 0.455 0.189
5 Pm 0.668 0.970 0.337
6 Pm 0.405 0.545 0.811
7 Pm 0.796 0.683 0.591
8 Pm 0.968 0.210 0.935
9 Ru 0.187 0.709 0.374
10 Ru 0.813 0.291 0.626
11 Ni 0.500 0.000 0.000

=====

16.
A relaxed structure of Pm2NiRu, computed with PBE.

Properties
DFT formation energy = -0.238 eV per atom
DOS at the Fermi energy = 0.457 states/eV/atom
SG = P4/mmm, No. 123

Cell: 3.457 3.457 7.070 Å, 90.00 90.00 90.00°
Fractional positions:
1 Pm 0.000 0.000 0.751
2 Pm 0.000 0.000 0.249
3 Ru 0.500 0.500 0.000
4 Ni 0.500 0.500 0.500

=====

17.
A relaxed structure of Pm3Ni2Ru, computed with PBE.

Properties
DFT formation energy = -0.248 eV per atom
DOS at the Fermi energy = 0.845 states/eV/atom
SG = Pnma, No. 62

Cell: 4.169 11.532 11.275 Å, 90.00 90.00 90.00°
Fractional positions:
1 Pm 0.750 0.555 0.621
2 Pm 0.750 0.945 0.121
3 Pm 0.750 0.291 0.791
4 Pm 0.250 0.709 0.209
5 Pm 0.250 0.122 0.552
6 Pm 0.750 0.878 0.448
7 Pm 0.750 0.209 0.291
8 Pm 0.250 0.445 0.379
9 Pm 0.250 0.378 0.052
10 Pm 0.250 0.791 0.709
11 Pm 0.250 0.055 0.879
12 Pm 0.750 0.622 0.948
13 Ni 0.750 0.504 0.189
14 Ni 0.250 0.496 0.811
15 Ni 0.250 0.809 0.975
16 Ni 0.750 0.191 0.025
17 Ni 0.250 0.691 0.475
18 Ni 0.750 0.309 0.525
19 Ni 0.750 0.996 0.689
20 Ni 0.250 0.004 0.311
21 Ru 0.750 0.867 0.864
22 Ru 0.750 0.633 0.364
23 Ru 0.250 0.133 0.136
24 Ru 0.250 0.367 0.636

=====

18.
A relaxed structure of Pm8NiRu2, computed with PBE.

Properties
DFT formation energy = -0.104 eV per atom
DOS at the Fermi energy = 1.028 states/eV/atom
SG = Cm, No. 8

Cell: 6.310 7.628 7.628 Å, 113.54 101.34 101.34°
Fractional positions:
1 Ru 0.479 0.318 0.695
2 Ru 0.479 0.695 0.318
3 Pm 0.988 0.200 0.796
4 Pm 0.366 0.656 0.920
5 Pm 0.592 0.353 0.087
6 Pm 0.592 0.087 0.353
7 Pm 0.366 0.920 0.656
8 Pm 0.180 0.357 0.357
9 Pm 0.787 0.647 0.647
10 Pm 0.988 0.796 0.200
11 Ni 0.182 0.005 0.005

=====

19.
A relaxed structure of PmNi2Ru, computed with PBE.

Properties
DFT formation energy = -0.161 eV per atom
DOS at the Fermi energy = 1.195 states/eV/atom
SG = R-3m, No. 166

Cell: 4.175 4.175 5.323 Å, 66.91 66.91 60.00°
Site moments in Bohr magnetons follow the coordinates.
Fractional positions:
1 Ru 0.500 0.500 0.500  0.39
2 Ni 0.195 0.195 0.414  0.17
3 Ni 0.805 0.805 0.586  0.17
4 Pm 0.000 0.000 0.000  -0.04

=====

20.
A relaxed structure of Pm3Ni7Ru2, computed with PBE.

Properties
DFT formation energy = -0.255 eV per atom
DOS at the Fermi energy = 0.803 states/eV/atom
SG = R-3m, No. 166

Cell: 5.059 5.059 8.933 Å, 73.55 73.55 60.00°
Fractional positions:
1 Ni 0.582 0.582 0.752
2 Ni 0.582 0.083 0.752
3 Ni 0.083 0.582 0.752
4 Ni 0.500 0.500 0.500
5 Ni 0.418 0.418 0.248
6 Ni 0.917 0.418 0.248
7 Ni 0.418 0.917 0.248
8 Ru 0.332 0.332 0.003
9 Ru 0.668 0.668 0.997
10 Pm 0.000 0.000 0.000
11 Pm 0.138 0.138 0.585
12 Pm 0.862 0.862 0.415

=====

Number 1: volume 20.78 A^3/atom. Number 2: volume 21.62 A^3/atom. Number 3: volume 22.27 A^3/atom. Number 4: volume 21.87 A^3/atom. Number 5: volume 20.27 A^3/atom. Number 6: volume 21.10 A^3/atom. Number 7: volume 15.99 A^3/atom. Number 8: volume 15.10 A^3/atom. Number 9: volume 16.55 A^3/atom. Number 10: volume 17.14 A^3/atom. Number 11: volume 17.20 A^3/atom. Number 12: volume 15.64 A^3/atom. Number 13: volume 19.33 A^3/atom. Number 14: volume 27.69 A^3/atom. Number 15: volume 27.04 A^3/atom. Number 16: volume 21.12 A^3/atom. Number 17: volume 22.59 A^3/atom. Number 18: volume 28.57 A^3/atom. Number 19: volume 17.91 A^3/atom. Number 20: volume 15.60 A^3/atom.